Entry 1:
This record from Alexandria via LeMat-Bulk describes a relaxed CsAlV2O8 crystal. The functional is PBE+U.

Space-group type: No. 164
Fermi-level density of states in states/eV/f.u.: 4.541
Calculated total energy in eV/atom: -6.7892

Lattice parameters (Å, degrees): 5.5557 5.5557 8.3509 90.00 90.00 120.00
Last column: magnetic moment on the atom in μB.
Atoms (fractional coordinates):
Cs1 0.0000 0.0000 0.0000  0.00
Al1 0.0000 0.0000 0.5000  -0.01
V1 0.6667 0.3333 0.3053  -0.19
V2 0.3333 0.6667 0.6947  -0.19
O1 0.3333 0.6667 0.8961  0.21
O2 0.3204 0.1602 0.3713  0.27
O3 0.8398 0.1602 0.3713  0.27
O4 0.6667 0.3333 0.1039  0.21
O5 0.1602 0.8398 0.6287  0.27
O6 0.6796 0.8398 0.6287  0.27
O7 0.1602 0.3204 0.6287  0.27
O8 0.8398 0.6796 0.3713  0.27


Entry 2:
This record from Alexandria via LeMat-Bulk describes a relaxed CsAlVO4 crystal. The functional is PBE+U.

Space-group type: No. 11
Fermi-level density of states in states/eV/f.u.: 0.000
Calculated total energy in eV/atom: -6.7112

Lattice parameters (Å, degrees): 5.3617 5.5584 9.3413 90.00 125.10 90.00
Last column: magnetic moment on the atom in μB.
Atoms (fractional coordinates):
Cs1 0.6358 0.7500 0.8971  0.00
Cs2 0.3642 0.2500 0.1029  0.00
Al1 0.2295 0.7500 0.3753  0.01
Al2 0.7705 0.2500 0.6247  0.01
V1 0.8119 0.7500 0.4777  1.09
V2 0.1881 0.2500 0.5223  1.09
O1 0.0250 0.4746 0.6346  -0.04
O2 0.9750 0.9746 0.3654  -0.04
O3 0.9750 0.5254 0.3654  -0.04
O4 0.0250 0.0254 0.6346  -0.04
O5 0.3999 0.7500 0.2590  -0.02
O6 0.6001 0.2500 0.7410  -0.02
O7 0.5867 0.7500 0.5786  -0.03
O8 0.4133 0.2500 0.4214  -0.03


Entry 3:
This record from Alexandria via LeMat-Bulk describes a relaxed Cs2AlVO4 crystal. The functional is PBE+U.

Space-group type: No. 70
Calculated total energy in eV/atom: -6.1149

Lattice parameters (Å, degrees): 5.2180 6.8670 11.2886 84.96 76.64 67.67
Last column: magnetic moment on the atom in μB.
Atoms (fractional coordinates):
Cs1 0.1741 0.0000 0.6519  0.00
Cs2 0.8259 0.0000 0.3481  0.00
Cs3 0.5759 0.5000 0.8481  0.00
Cs4 0.9241 0.5000 0.1519  0.00
Al1 0.2500 0.5000 0.5000  0.01
Al2 0.5000 0.0000 0.0000  0.01
V1 0.7500 0.5000 0.5000  1.83
V2 0.0000 0.0000 0.0000  1.83
O1 0.3049 0.8447 0.0815  0.00
O2 0.2311 0.1553 0.9185  0.00
O3 0.8503 0.8447 0.9185  0.00
O4 0.6136 0.1553 0.0815  0.00
O5 0.4451 0.6553 0.4185  0.00
O6 0.5189 0.3447 0.5815  0.00
O7 0.8997 0.6553 0.5815  0.00
O8 0.1364 0.3447 0.4185  0.00